BaInWO2 | PBE+U | optimized geometry

Geometry as CIF:
```
data_BaInWO2
_symmetry_space_group_name_H-M 'P 4/m m m'
_symmetry_Int_Tables_number 123
_symmetry_space_group_name_Hall '-P 4 2'
_cell_length_a 4.1717
_cell_length_b 4.1717
_cell_length_c 6.8839
_cell_angle_alpha 90.00
_cell_angle_beta 90.00
_cell_angle_gamma 90.00
loop_
_atom_site_label
_atom_site_type_symbol
_atom_site_fract_x
_atom_site_fract_y
_atom_site_fract_z
Ba1 Ba 0.0000 0.0000 0.0000
In1 In 0.5000 0.5000 0.0000
W1 W 0.0000 0.0000 0.5000
O1 O 0.0000 0.5000 0.5000
```

- Total moment: 0.83 μB per formula unit
- Total DFT energy (no corrections): -4.59 eV/atom
- Calculated density: 6.5 g cm⁻³